VASP calculation (PBE) on crystalline PmHo3As4 at its relaxed geometry.

```
8
Lattice="5.8468 0.0000 0.0000 0.0000 5.8468 0.0000 0.0000 0.0000 5.8468" Properties=species:S:1:pos:R:3 pbc="T T T"
Pm 0.0000 0.0000 0.0000
Ho 0.0000 2.9234 2.9234
Ho 2.9234 0.0000 2.9234
Ho 2.9234 2.9234 0.0000
As 0.0000 0.0000 2.9234
As 0.0000 2.9234 0.0000
As 2.9234 0.0000 0.0000
As 2.9234 2.9234 2.9234
```



VASP calculation (PBE) on crystalline PrHo2Hf at its relaxed geometry.

```
4
Lattice="3.9683 0.0000 0.0000 0.0000 3.9683 0.0000 0.0000 0.0000 7.6157" Properties=species:S:1:pos:R:3 pbc="T T T"
Pr 0.0000 0.0000 0.0000
Ho 1.9842 1.9842 2.1878
Ho 1.9842 1.9842 5.4279
Hf 0.0000 0.0000 3.8079
```

Distance to the lowest polymorph of the same formula, meV per atom: 105.2



VASP calculation (PBE) on crystalline PPt6Pb2 at its relaxed geometry.

```
9
Lattice="4.9453 -2.8478 0.0000 4.9453 2.8478 0.0000 -1.7551 0.0000 5.8389" Properties=species:S:1:pos:R:3 pbc="T T T"
P 0.0000 0.0000 0.0000
Pt 2.3596 1.4087 4.1086
Pt -0.0815 0.0000 4.1471
Pt 5.7759 1.4087 1.7303
Pt 2.3596 -1.4087 4.1086
Pt 8.2170 0.0000 1.6918
Pt 5.7759 -1.4087 1.7303
Pb 3.3025 0.0000 1.0527
Pb 4.8330 0.0000 4.7863
```



no.,M_tot (μB/cell),formation energy from the elements (eV/atom)
1,0.00,-1.521
2,0.00,0.223
3,0.00,-0.217